VASP calculation (PBE) on crystalline BaMgCdPb2 at its relaxed geometry.

Computed properties:
- Formation energy: -0.332 eV/atom
- Energy: -0.1986 Ry per atom

a = 4.8845 Å, b = 4.8845 Å, c = 13.4151 Å
α = 90.00°, β = 90.00°, γ = 90.00°
Closest atoms and distances in Å follow each position.
Space group I-4m2 (No. 119)
Symmetry-distinct sites (fractional):
Ba1 0.0000 0.0000 0.0000 [2 per cell]  8 Pb 3.79, 4 Cd 4.15, 4 Mg 4.15
Mg1 0.0000 0.5000 0.2500 [2 per cell]  4 Pb 3.02
Cd1 0.0000 0.5000 0.7500 [2 per cell]  4 Pb 3.02
Pb1 0.0000 0.0000 0.3830 [4 per cell]  2 Cd 3.02, 2 Mg 3.02, 1 Pb 3.14